NbAlN2F | PBE | optimized geometry

Results
As for the relative energy among the computed polymorphs: 139 kJ/mol of formula units. As for the density of states at the Fermi level: 2.80 states/eV per cell. The total energy is -34.3 eV/cell. The value obtained for the uncorrected formation energy is -0.387 eV/atom.

a = 4.1103 Å, b = 4.1103 Å, c = 4.1017 Å
α = 90.00°, β = 90.00°, γ = 90.00°
Fractional coordinates of all 5 atoms:
Nb (0.0000, 0.0000, 0.0000)
Al (0.5000, 0.5000, 0.5000)
N (0.0000, 0.5000, 0.0000)
N (0.5000, 0.0000, 0.0000)
F (0.0000, 0.0000, 0.5000)